No. 1
Compound: Np2GeSe5
Source: Alexandria via LeMat-Bulk
Functional: PBE
Structure: optimized geometry

Geometry as POSCAR:
```
Np2GeSe5
1.0
7.857 0.000 0.000
0.000 11.788 0.000
0.000 0.000 4.002
Np Ge Se
4 2 10
direct
0.034 0.176 0.000 Np
0.466 0.676 0.000 Np
0.534 0.324 0.000 Np
0.966 0.824 0.000 Np
0.000 0.500 0.500 Ge
0.500 0.000 0.500 Ge
0.000 0.000 0.500 Se
0.173 0.406 0.000 Se
0.174 0.696 0.500 Se
0.326 0.196 0.500 Se
0.327 0.906 0.000 Se
0.500 0.500 0.500 Se
0.673 0.094 0.000 Se
0.674 0.804 0.500 Se
0.826 0.304 0.500 Se
0.827 0.594 0.000 Se
```

=====

No. 2
Compound: NpGeSe3
Source: Alexandria via LeMat-Bulk
Functional: PBE
Structure: optimized geometry

Geometry as POSCAR:
```
NpGeSe3
1.0
4.127 0.000 0.000
0.000 9.798 3.632
0.000 -9.798 3.632
Np Ge Se
2 2 6
direct
0.250 0.172 0.828 Np
0.750 0.828 0.172 Np
0.250 0.333 0.640 Ge
0.750 0.640 0.333 Ge
0.250 0.422 0.236 Se
0.250 0.727 0.925 Se
0.250 0.922 0.418 Se
0.750 0.236 0.422 Se
0.750 0.418 0.922 Se
0.750 0.925 0.727 Se
```

=====

How do the records compare in energy above the lowest structure with this stoichiometry? In the order shown, they have 0.00 0.00 eV per formula unit.
How do the records compare in uncorrected formation energy? In the order shown, they have -0.840 -0.677 eV/atom.